# Ac6Os2SeI3

A relaxed Ac6Os2SeI3 crystal (PBE, Alexandria).

a b c (Å): 7.763 7.763 8.906
angles (deg): 98.30 98.30 119.96
Positions (direct):
Ac (0.938, 0.579, 0.812)
Ac (0.704, 0.704, 0.188)
Ac (0.062, 0.421, 0.188)
Ac (0.579, 0.938, 0.812)
Ac (0.296, 0.296, 0.812)
Ac (0.421, 0.062, 0.188)
Os (0.333, 0.667, 0.000)
Os (0.667, 0.333, 0.000)
Se (0.000, 0.000, 0.000)
I (0.164, 0.836, 0.500)
I (0.836, 0.164, 0.500)
I (0.500, 0.500, 0.500)

Values from the calculation:
**Final energy**: -5.525 eV per atom
**Crystal system**: monoclinic
**Density**: 8.21 g/cm3
**ΔE_f (raw)**: -0.921 eV/atom

# Ac6Si2OsI3

A relaxed Ac6Si2OsI3 crystal (PBE, Alexandria).

a b c (Å): 7.919 7.919 8.670
angles (deg): 98.81 98.81 119.75
Positions (direct):
Ac (0.936, 0.621, 0.810)
Ac (0.748, 0.748, 0.194)
Ac (0.064, 0.379, 0.190)
Ac (0.621, 0.936, 0.810)
Ac (0.252, 0.252, 0.806)
Ac (0.379, 0.064, 0.190)
Si (0.334, 0.666, 0.000)
Si (0.666, 0.334, 0.000)
Os (0.000, 0.000, 0.000)
I (0.173, 0.827, 0.500)
I (0.827, 0.173, 0.500)
I (0.500, 0.500, 0.500)

Values from the calculation:
**Final energy**: -5.077 eV per atom
**Crystal system**: monoclinic
**Density**: 7.35 g/cm3
**ΔE_f (raw)**: -0.796 eV/atom

# Ac8SiOs3I4

A relaxed Ac8SiOs3I4 crystal (PBE, Alexandria).

a b c (Å): 8.921 9.928 8.917
angles (deg): 116.65 120.02 90.00
Positions (direct):
Ac (0.235, 0.682, 0.947)
Ac (0.235, 0.682, 0.471)
Ac (0.270, 0.309, 0.539)
Ac (0.712, 0.682, 0.947)
Ac (0.288, 0.318, 0.053)
Ac (0.730, 0.691, 0.461)
Ac (0.765, 0.318, 0.529)
Ac (0.765, 0.318, 0.053)
Si (0.000, 0.500, 0.000)
Os (0.500, 0.500, 0.000)
Os (0.500, 0.500, 0.500)
Os (0.000, 0.500, 0.500)
I (0.500, 0.000, 0.000)
I (0.500, 0.000, 0.500)
I (0.000, 0.000, 0.000)
I (0.000, 0.000, 0.500)

Values from the calculation:
**Final energy**: -5.557 eV per atom
**Crystal system**: trigonal
**Density**: 8.30 g/cm3
**ΔE_f (raw)**: -0.670 eV/atom

| no. | V (Å³ per cell) |
| --- | --- |
| 1 | 445 |
| 2 | 449 |
| 3 | 585 |